[1]
PBE-GGA Ta2Tl2B, relaxed; total energy = -6.691 eV per atom; energy above the lowest structure with this stoichiometry = 0.000 eV/atom; formation energy = 0.332 eV per atom; space-group type = No. 127
1.0
-0.1452 -3.5844 -5.0247
-4.9798 -2.9014 2.2137
-2.9288 3.2970 -2.2673
Tl B Ta
4 2 4
Direct
0.1686 0.6686 0.5000
0.6686 0.8314 0.5000
0.8314 0.3314 0.5000
0.3314 0.1686 0.5000
0.0000 0.0000 0.0000
0.5000 0.5000 0.0000
0.3335 0.8335 0.0000
0.8335 0.6665 0.0000
0.6665 0.1665 0.0000
0.1665 0.3335 0.0000



[2]
PBE-GGA Ba2Sr4Sb2N, relaxed; total energy = -3.699 eV per atom; uncorrected formation energy = -683 meV per atom; space-group type = No. 139
1.0
-7.4913 -1.9747 0.2831
4.6084 -0.6692 6.1980
2.2280 7.4143 -0.4054
Ba Sr Sb N
2 4 2 1
Direct
0.0000 0.7535 0.7535
0.0000 0.2465 0.2465
0.0000 0.7610 0.2390
0.5220 0.7610 0.7610
0.0000 0.2390 0.7610
0.4780 0.2390 0.2390
0.5000 0.7500 0.2500
0.5000 0.2500 0.7500
0.0000 0.0000 0.0000



[3]
PBE-GGA Nd5Co2Hg, relaxed; total energy = -4.965 eV per atom; formation energy = -0.171 eV per atom; space-group type = No. 140
1.0
-2.5979 6.4036 3.7789
3.3877 -2.5440 6.6398
5.3357 1.3735 -6.8675
Nd Co Hg
10 4 2
Direct
0.5298 0.7058 0.7356
0.7942 0.9702 0.2644
0.0000 0.0000 0.0000
0.5000 0.5000 0.0000
0.2058 0.0298 0.7356
0.7058 0.2058 0.7356
0.0298 0.5298 0.7356
0.2942 0.7942 0.2644
0.9702 0.4702 0.2644
0.4702 0.2942 0.2644
0.1305 0.3695 0.0000
0.6305 0.1305 0.0000
0.3695 0.8695 0.0000
0.8695 0.6305 0.0000
0.7500 0.7500 0.5000
0.2500 0.2500 0.5000



[4]
PBE-GGA Li2TeMo, relaxed; total energy = -4.136 eV per atom; uncorrected formation energy = 314 meV per atom; space-group type = No. 166
1.0
-2.8512 -8.6510 -3.4597
-1.3753 -9.5926 -1.0147
-4.2486 -8.7322 -0.7982
Li Mo Te
2 1 1
Direct
0.9984 0.9984 0.9984
0.5016 0.5016 0.5016
0.2500 0.2500 0.2500
0.7500 0.7500 0.7500



[5]
PBE-GGA Ce2Pm5Dy6, relaxed; total energy = -4.690 eV per atom; formation energy = 0.175 eV per atom; space-group type = No. 55
1.0
-3.2267 1.5408 3.8412
3.6993 -9.8344 7.0523
9.4110 7.1518 5.0365
Ce Pm Dy
4 10 12
Direct
0.0000 0.4069 0.1970
0.0000 0.5931 0.8030
0.0000 0.9069 0.3030
0.0000 0.0931 0.6970
0.5000 0.3837 0.3950
0.5000 0.6163 0.6050
0.5000 0.8837 0.1050
0.5000 0.1163 0.8950
0.5000 0.5875 0.2276
0.5000 0.4125 0.7724
0.5000 0.0875 0.2724
0.5000 0.9125 0.7276
0.5000 0.5000 0.0000
0.5000 0.0000 0.5000
0.0000 0.1875 0.4186
0.0000 0.8125 0.5814
0.0000 0.6875 0.0814
0.0000 0.3125 0.9186
0.5000 0.2781 0.1079
0.5000 0.7219 0.8921
0.5000 0.7781 0.3921
0.5000 0.2219 0.6079
0.0000 0.5976 0.3990
0.0000 0.4024 0.6010
0.0000 0.0976 0.1010
0.0000 0.9024 0.8990



[6]
PBE-GGA SiHIO2, relaxed; total energy = -3.170 eV per atom; energy above the lowest structure with this stoichiometry = 1.648 eV/atom; space-group type = No. 123
1.0
4.2160 0.0000 0.0000
0.0000 4.2160 0.0000
0.0000 0.0000 3.5016
I H Si O
1 1 1 2
Direct
0.0000 0.0000 0.5000
0.0000 0.0000 0.0000
0.5000 0.5000 0.5000
0.0000 0.5000 0.0000
0.5000 0.0000 0.0000



[7]
PBE-GGA Sc7Tl3Pb, relaxed; total energy = -5.065 eV per atom; formation energy = -0.053 eV per atom; space-group type = No. 12
1.0
-3.9255 -2.6885 2.8127
6.8949 -3.1703 1.1766
2.2294 6.3250 3.7414
Sc Tl Pb
7 3 1
Direct
0.1853 0.1843 0.1843
0.3252 0.0518 0.5992
0.6748 0.4008 0.9482
0.3252 0.5992 0.0518
0.0000 0.5000 0.5000
0.6748 0.9482 0.4008
0.8147 0.8157 0.8157
0.0000 0.7718 0.2282
0.5000 0.0000 0.0000
0.0000 0.2282 0.7718
0.5000 0.5000 0.5000



[8]
PBE-GGA LiLaSm2Au4, relaxed; total energy = -4.397 eV per atom; formation energy = -0.724 eV per atom; space-group type = No. 166
1.0
-0.5577 -1.9331 -4.6902
-3.2619 -3.8415 -0.8054
-7.4873 3.6811 -3.4035
Li La Sm Au
1 1 2 4
Direct
0.5000 0.5000 0.5000
0.0000 0.0000 0.0000
0.7618 0.7618 0.7145
0.2382 0.2382 0.2855
0.3877 0.3877 0.8368
0.8796 0.8796 0.3613
0.1204 0.1204 0.6387
0.6123 0.6123 0.1632



[9]
PBE-GGA Rb5C3, relaxed; total energy = -2.344 eV per atom; energy above the lowest structure with this stoichiometry = 0.063 eV/atom; formation energy = 1.720 eV per atom; space-group type = No. 123
1.0
-0.7868 3.7952 0.9809
-1.4120 -1.2077 3.5401
18.0066 1.7245 7.7705
Rb C
5 3
Direct
0.0000 0.0000 0.0000
0.0000 0.0000 0.1817
0.0000 0.0000 0.8183
0.5000 0.5000 0.4140
0.5000 0.5000 0.5860
0.0000 0.0000 0.5000
0.5000 0.5000 0.1092
0.5000 0.5000 0.8908



[10]
PBE-GGA Cu5Ni3H12, relaxed; total energy = -3.676 eV per atom; space-group type = No. 230
1.0
-2.8661 -0.1694 8.4597
-6.5843 -2.6437 -5.4283
6.9824 -5.5013 -0.8893
Ni Cu H
12 20 48
Direct
0.7500 0.3750 0.1250
0.8750 0.7500 0.1250
0.3750 0.7500 0.6250
0.2500 0.1250 0.3750
0.8750 0.1250 0.2500
0.3750 0.6250 0.2500
0.6250 0.3750 0.7500
0.1250 0.8750 0.7500
0.7500 0.8750 0.6250
0.6250 0.2500 0.3750
0.1250 0.2500 0.8750
0.2500 0.6250 0.8750
0.1250 0.3750 0.2500
0.0000 0.5000 0.0000
0.0000 0.0000 0.0000
0.3750 0.2500 0.1250
0.5000 0.0000 0.5000
0.5000 0.5000 0.0000
0.1250 0.7500 0.3750
0.7500 0.1250 0.8750
0.7500 0.6250 0.3750
0.3750 0.1250 0.7500
0.6250 0.8750 0.2500
0.5000 0.5000 0.5000
0.5000 0.0000 0.0000
0.0000 0.0000 0.5000
0.2500 0.3750 0.6250
0.2500 0.8750 0.1250
0.0000 0.5000 0.5000
0.8750 0.2500 0.6250
0.6250 0.7500 0.8750
0.8750 0.6250 0.7500
0.7194 0.1522 0.0554
0.3359 0.5554 0.4032
0.9446 0.3478 0.2806
0.5554 0.2194 0.1522
0.5673 0.7194 0.6641
0.9446 0.5968 0.1641
0.3359 0.7806 0.4327
0.0968 0.9327 0.1522
0.5968 0.9446 0.6641
0.7194 0.5673 0.1641
0.7806 0.4446 0.3478
0.8359 0.9032 0.0554
0.1522 0.7194 0.5554
0.3478 0.4032 0.0673
0.0673 0.9032 0.3478
0.4327 0.1522 0.5968
0.0673 0.1641 0.2194
0.4446 0.6641 0.0968
0.8359 0.9327 0.2806
0.1522 0.4327 0.0968
0.3478 0.9446 0.7806
0.5968 0.6522 0.4327
0.9032 0.8359 0.5554
0.7806 0.3359 0.9327
0.4032 0.3478 0.5673
0.0968 0.1641 0.4446
0.2194 0.6641 0.0673
0.1641 0.0673 0.7194
0.6522 0.0554 0.2194
0.8478 0.5673 0.9032
0.5554 0.3359 0.9032
0.5673 0.8478 0.4032
0.9327 0.8359 0.7806
0.9327 0.0968 0.6522
0.8478 0.2806 0.4446
0.1641 0.0968 0.9446
0.6522 0.5968 0.9327
0.4032 0.0554 0.3359
0.2806 0.4327 0.8359
0.2194 0.5554 0.6522
0.9032 0.0673 0.8478
0.6641 0.2194 0.5673
0.4446 0.7806 0.8478
0.0554 0.4032 0.8359
0.4327 0.2806 0.3359
0.0554 0.6522 0.7194
0.6641 0.4446 0.5968
0.2806 0.8478 0.9446



[11]
PBE-GGA KTiTl2Sb, relaxed; total energy = -3.657 eV per atom; uncorrected formation energy = -87 meV per atom; space-group type = No. 123
1.0
-0.8683 -5.3433 1.1260
5.0384 -1.2235 -1.9207
2.0289 0.6981 4.8775
Sb Tl K Ti
1 2 1 1
Direct
0.0000 0.0000 0.5000
0.0000 0.5000 0.0000
0.5000 0.0000 0.0000
0.5000 0.5000 0.5000
0.0000 0.0000 0.0000



[12]
PBE-GGA SmS4, relaxed; total energy = -3.997 eV per atom; energy above the lowest structure with this stoichiometry = 0.657 eV/atom; uncorrected formation energy = 249 meV per atom; space-group type = No. 221
1.0
-4.2952 -2.5271 -2.2485
3.1545 -1.6805 -4.1371
1.2211 -4.5476 2.7784
S Sm
4 1
Direct
0.0000 0.0000 0.0000
0.5000 0.0000 0.5000
0.0000 0.5000 0.5000
0.5000 0.5000 0.0000
0.5000 0.5000 0.5000